Material: NbNiBi3
Method: DFT, PBE
State: optimized geometry

The structure belongs to space group Pm-3m (No. 221); the cell edges are 5.116, 5.116 and 5.116 Å and the angles 90.00°, 90.00° and 90.00°. The asymmetric unit holds Nb at (0.000, 0.000, 0.000), Ni at (0.500, 0.500, 0.500) and Bi at (0.000, 0.500, 0.500).

As for the total magnetization: 2.6 μB/f.u. The calculation puts the volume at 26.8 A^3/atom. The formation energy comes out at 0.745 eV/atom.



Material: Pm5Y2Ho2
Method: DFT, PBE
State: optimized geometry

The structure belongs to space group P-1 (No. 2); the cell edges are 3.644, 7.603 and 11.559 Å and the angles 94.94°, 90.06° and 103.85°. The asymmetric unit holds Pm at (0.000, 0.000, 0.000), Pm at (0.217, 0.434, 0.610), Pm at (0.390, 0.778, 0.189), Y at (0.074, 0.146, 0.341) and Ho at (0.308, 0.618, 0.893).

As for the total magnetization: 0.0 μB/f.u. The calculation puts the volume at 34.4 A^3/atom. The formation energy comes out at 0.154 eV/atom.



Material: CePrI5
Method: DFT, PBE
State: optimized geometry

The structure belongs to space group P2_1/m (No. 11); the cell edges are 9.373, 4.347 and 15.084 Å and the angles 90.00°, 94.22° and 90.00°. The asymmetric unit holds Ce at (0.097, 0.250, 0.150), Pr at (0.416, 0.750, 0.344), I at (0.067, 0.750, 0.309), I at (0.140, 0.250, 0.930), I at (0.318, 0.250, 0.486), I at (0.349, 0.750, 0.128) and I at (0.362, 0.750, 0.714).

As for the total magnetization: 2.0 μB/f.u. For the uncorrected formation energy, the calculation gives -9.5 eV/f.u. The calculation puts the volume at 43.8 A^3/atom.



Material: LaCdSbTe2
Method: DFT, PBE
State: optimized geometry

The structure belongs to space group P4/mmm (No. 123); the cell edges are 5.604, 5.604 and 5.428 Å and the angles 90.00°, 90.00° and 90.00°. The asymmetric unit holds La at (0.000, 0.000, 0.000), Cd at (0.500, 0.500, 0.500), Sb at (0.500, 0.500, 0.000) and Te at (0.000, 0.500, 0.500).

As for the total magnetization: 0.0 μB/f.u. For the uncorrected formation energy, the calculation gives -0.8 eV/f.u. The calculation puts the volume at 34.1 A^3/atom.



Material: Ti3AlH
Method: DFT, PBE
State: optimized geometry

The structure belongs to space group P6_3/mmc (No. 194); the cell edges are 4.4754, 4.4754 and 8.0592 Å and the angles 90.00°, 90.00° and 120.00°. The asymmetric unit holds Ti at (0.0000, 0.0000, 0.2500), Ti at (0.3333, 0.6667, 0.0850), Al at (0.3333, 0.6667, 0.7500) and H at (0.0000, 0.0000, 0.0000).

For the raw total energy, the calculation gives -6.2528 eV per atom. As for the total magnetization: 0.0 μB/f.u. The calculation puts the volume at 14.0 A^3/atom.



Material: K2SrSc
Method: DFT, PBE
State: optimized geometry

The structure belongs to space group I4/mmm (No. 139); the cell edges are 5.334, 5.334 and 13.631 Å and the angles 90.00°, 90.00° and 90.00°. The asymmetric unit holds K at (0.000, 0.500, 0.250), Sr at (0.000, 0.000, 0.000) and Sc at (0.000, 0.000, 0.500).

As for the total magnetization: 0.7 μB/f.u. The calculation puts the volume at 48.5 A^3/atom. The formation energy comes out at 0.533 eV/atom.



Material: Ti2H2W
Method: DFT, PBE
State: optimized geometry

The structure belongs to space group I4/mmm (No. 139); the cell edges are 3.202, 3.202 and 10.435 Å and the angles 90.00°, 90.00° and 90.00°. The asymmetric unit holds Ti at (0.000, 0.000, 0.148), H at (0.000, 0.500, 0.250) and W at (0.000, 0.000, 0.500).

For the raw total energy, the calculation gives -7.3349 eV per atom. As for the total magnetization: 0.0 μB/f.u. The calculation puts the volume at 10.7 A^3/atom.



Material: ScTiTcW
Method: DFT, PBE
State: optimized geometry

The structure belongs to space group F-43m (No. 216); the cell edges are 6.422, 6.422 and 6.422 Å and the angles 90.00°, 90.00° and 90.00°. The asymmetric unit holds Sc at (0.000, 0.000, 0.000), Ti at (0.250, 0.250, 0.750), Tc at (0.250, 0.250, 0.250) and W at (0.000, 0.000, 0.500).

As for the total magnetization: 0.0 μB/f.u. The calculation puts the volume at 16.6 A^3/atom. The formation energy comes out at -0.037 eV/atom.



Material: HfMn4
Method: DFT, PBE
State: optimized geometry

The structure belongs to space group Pm-3m (No. 221); the cell edges are 4.720, 4.720 and 4.720 Å and the angles 90.00°, 90.00° and 90.00°. The asymmetric unit holds Hf at (0.000, 0.000, 0.000), Mn at (0.000, 0.000, 0.500) and Mn at (0.500, 0.500, 0.500).

As for the total magnetization: 13.5 μB/f.u. The calculation puts the volume at 21.0 A^3/atom. The formation energy comes out at 1.511 eV/atom.



Material: Mn3Cd5
Method: DFT, PBE
State: optimized geometry

The structure belongs to space group Cmmm (No. 65); the cell edges are 8.208, 8.549 and 4.247 Å and the angles 90.00°, 90.00° and 90.00°. The asymmetric unit holds Mn at (0.000, 0.000, 0.000), Mn at (0.000, 0.247, 0.500), Cd at (0.000, 0.500, 0.000), Cd at (0.236, 0.000, 0.500) and Cd at (0.250, 0.250, 0.000).

As for the total magnetization: 10.7 μB/f.u. The calculation puts the volume at 18.6 A^3/atom. The formation energy comes out at 0.246 eV/atom.



Material: Ca2PmTl3
Method: DFT, PBE
State: optimized geometry

The structure belongs to space group P4/mmm (No. 123); the cell edges are 3.863, 3.863 and 11.768 Å and the angles 90.00°, 90.00° and 90.00°. The asymmetric unit holds Ca at (0.000, 0.000, 0.164), Pm at (0.000, 0.000, 0.500), Tl at (0.500, 0.500, 0.000) and Tl at (0.500, 0.500, 0.332).

As for the total magnetization: 0.0 μB/f.u. The calculation puts the volume at 29.3 A^3/atom. The formation energy comes out at -0.419 eV/atom.



Material: Ag4BrClF2
Method: DFT, PBE
State: optimized geometry

The structure belongs to space group Pmn2_1 (No. 31); the cell edges are 8.374, 7.590 and 5.501 Å and the angles 90.00°, 90.00° and 90.00°. The asymmetric unit holds Ag at (0.000, 0.127, 0.000), Ag at (0.000, 0.738, 0.500), Ag at (0.183, 0.389, 0.499), Br at (0.000, 0.766, 0.000), Cl at (0.000, 0.126, 0.500) and F at (0.217, 0.334, 0.002).

As for the total magnetization: 0.0 μB/f.u. For the uncorrected formation energy, the calculation gives -5.3 eV/f.u. The calculation puts the volume at 21.9 A^3/atom.



Material: LaPm6Nd12
Method: DFT, PBE
State: optimized geometry

The structure belongs to space group R-3 (No. 148, hexagonal axes); the cell edges are 12.3265, 12.3265 and 15.4535 Å and the angles 90.00°, 90.00° and 120.00°. The asymmetric unit holds La at (0.0000, 0.0000, 0.0000), Pm at (0.0123, 0.5886, 0.6845), Nd at (0.0050, 0.1744, 0.1913) and Nd at (0.0468, 0.1958, 0.4167).

As for the total magnetization: 0.0 μB/f.u. The calculation puts the volume at 35.7 A^3/atom. The formation energy comes out at 0.126 eV/atom.



Material: BaGa2SiTc
Method: DFT, PBE
State: optimized geometry

The structure belongs to space group P4/mmm (No. 123); the cell edges are 4.918, 4.918 and 4.723 Å and the angles 90.00°, 90.00° and 90.00°. The asymmetric unit holds Ba at (0.000, 0.000, 0.000), Ga at (0.000, 0.500, 0.500), Si at (0.500, 0.500, 0.000) and Tc at (0.500, 0.500, 0.500).

As for the total magnetization: 0.0 μB/f.u. For the uncorrected formation energy, the calculation gives -1.9 eV/f.u. The calculation puts the volume at 22.9 A^3/atom.



Material: LiLaMn
Method: DFT, PBE
State: optimized geometry

The structure belongs to space group I4mm (No. 107); the cell edges are 3.572, 3.572 and 10.903 Å and the angles 90.00°, 90.00° and 90.00°. The asymmetric unit holds Li at (0.000, 0.000, 0.000), La at (0.000, 0.000, 0.292) and Mn at (0.000, 0.000, 0.614).

As for the total magnetization: 3.4 μB/f.u. The calculation puts the volume at 23.2 A^3/atom. The formation energy comes out at 0.297 eV/atom.



Material: LiMn2Pb
Method: DFT, PBE
State: optimized geometry

The structure belongs to space group I-42d (No. 122); the cell edges are 3.668, 3.668 and 18.599 Å and the angles 90.00°, 90.00° and 90.00°. The asymmetric unit holds Li at (0.000, 0.000, 0.000), Mn at (0.162, 0.250, 0.125) and Pb at (0.000, 0.000, 0.500).

As for the total magnetization: 1.0 μB/f.u. The calculation puts the volume at 15.6 A^3/atom. The formation energy comes out at 0.735 eV/atom.



Material: InCuB3
Method: DFT, PBE
State: optimized geometry

The structure belongs to space group Pm-3m (No. 221); the cell edges are 4.466, 4.466 and 4.466 Å and the angles 90.00°, 90.00° and 90.00°. The asymmetric unit holds In at (0.000, 0.000, 0.000), Cu at (0.500, 0.500, 0.500) and B at (0.000, 0.000, 0.500).

As for the total magnetization: 0.0 μB/f.u. The calculation puts the volume at 17.8 A^3/atom. The formation energy comes out at 2.474 eV/atom.



Material: Cr2NiSe
Method: DFT, PBE
State: optimized geometry

The structure belongs to space group P4/mmm (No. 123); the cell edges are 3.153, 3.153 and 5.903 Å and the angles 90.00°, 90.00° and 90.00°. The asymmetric unit holds Cr at (0.000, 0.000, 0.239), Ni at (0.500, 0.500, 0.000) and Se at (0.500, 0.500, 0.500).

As for the total magnetization: 7.4 μB/f.u. For the uncorrected formation energy, the calculation gives 1.0 eV/f.u. The calculation puts the volume at 14.7 A^3/atom.



Material: KSi
Method: DFT, PBE
State: optimized geometry

The structure belongs to space group Cmcm (No. 63); the cell edges are 5.383, 12.253 and 3.894 Å and the angles 90.00°, 90.00° and 90.00°. The asymmetric unit holds K at (0.000, 0.148, 0.250) and Si at (0.000, 0.446, 0.250).

As for the total magnetization: 0.0 μB/f.u. For the uncorrected formation energy, the calculation gives 0.1 eV/f.u. The calculation puts the volume at 32.1 A^3/atom.



Material: Ca2ZnMo
Method: DFT, PBE
State: optimized geometry

The structure belongs to space group P4/mmm (No. 123); the cell edges are 4.385, 4.385 and 4.641 Å and the angles 90.00°, 90.00° and 90.00°. The asymmetric unit holds Ca at (0.000, 0.500, 0.000), Zn at (0.000, 0.000, 0.500) and Mo at (0.500, 0.500, 0.500).

As for the total magnetization: 0.5 μB/f.u. The calculation puts the volume at 22.3 A^3/atom. The formation energy comes out at 0.617 eV/atom.



Material: K5Rb12Au2
Method: DFT, PBE
State: optimized geometry

The structure belongs to space group C2/m (No. 12); the cell edges are 26.312, 9.165 and 11.779 Å and the angles 90.00°, 94.75° and 90.00°. The asymmetric unit holds K at (0.000, 0.000, 0.000), K at (0.225, 0.500, 0.692), K at (0.226, 0.000, 0.688), Rb at (0.032, 0.500, 0.766), Rb at (0.043, 0.000, 0.659), Rb at (0.117, 0.261, 0.397), Rb at (0.159, 0.249, 0.015) and Au at (0.000, 0.340, 0.500).

As for the total magnetization: 0.0 μB/f.u. The calculation puts the volume at 74.5 A^3/atom. The formation energy comes out at -0.039 eV/atom.



Material: ZrIrRu2
Method: DFT, PBE
State: optimized geometry

The structure belongs to space group Pmmm (No. 47); the cell edges are 2.865, 3.849 and 5.777 Å and the angles 90.00°, 90.00° and 90.00°. The asymmetric unit holds Zr at (0.000, 0.000, 0.000), Ir at (0.000, 0.000, 0.500) and Ru at (0.500, 0.500, 0.274).

As for the total magnetization: 0.0 μB/f.u. The calculation puts the volume at 15.9 A^3/atom. The formation energy comes out at -0.128 eV/atom.



Material: Ce3Dy4YP8
Method: DFT, PBE
State: optimized geometry

The structure belongs to space group R-3m (No. 166, hexagonal axes); the cell edges are 8.0736, 8.0736 and 19.7522 Å and the angles 90.00°, 90.00° and 120.00°. The asymmetric unit holds Ce at (0.0000, 0.5000, 0.0000), Dy at (0.0000, 0.0000, 0.5000), Dy at (0.0000, 0.5000, 0.5000), Y at (0.0000, 0.0000, 0.0000), P at (0.0000, 0.0000, 0.2488) and P at (0.0005, 0.5003, 0.7505).

As for the total magnetization: 1.4 μB/f.u. The calculation puts the volume at 23.2 A^3/atom. The formation energy comes out at -1.577 eV/atom.



Material: ReIN2O
Method: DFT, PBE
State: optimized geometry

The structure belongs to space group P4/mmm (No. 123); the cell edges are 4.208, 4.208 and 3.946 Å and the angles 90.00°, 90.00° and 90.00°. The asymmetric unit holds Re at (0.000, 0.000, 0.000), I at (0.500, 0.500, 0.500), N at (0.000, 0.500, 0.500) and O at (0.500, 0.500, 0.000).

As for the total magnetization: 4.3 μB/f.u. For the uncorrected formation energy, the calculation gives 11.3 eV/f.u. The calculation puts the volume at 14.0 A^3/atom.



Material: LiPmZn
Method: DFT, PBE
State: optimized geometry

The structure belongs to space group P4/nmm (No. 129, origin choice 2); the cell edges are 3.431, 3.431 and 11.444 Å and the angles 90.00°, 90.00° and 90.00°. The asymmetric unit holds Li at (0.250, 0.250, 0.075), Pm at (0.250, 0.250, 0.376) and Zn at (0.250, 0.250, 0.805).

As for the total magnetization: 0.0 μB/f.u. The calculation puts the volume at 22.5 A^3/atom. The formation energy comes out at -0.101 eV/atom.